PBE Na2NbHgO4, relaxed; electronic total energy = -5.8470 eV per atom; space group = I-4; uncorrected formation energy = -1.742 eV per atom; size of the total moment = 0.000 μB/atom
1.0
6.229 -0.879 -1.346
-3.449 5.261 1.346
-3.449 -0.885 5.358
O Na Hg Nb
4 2 1 1
Direct
0.039 0.629 0.207
0.961 0.168 0.589
0.421 0.793 0.832
0.579 0.411 0.371
0.500 0.750 0.250
0.000 0.000 0.000
0.500 0.250 0.750
0.000 0.500 0.500

---

PBE Sm3Ag3SbS8, relaxed; electronic total energy = -5.0153 eV per atom; space group = C2/m; uncorrected formation energy = -1.025 eV per atom; size of the total moment = 0.000 μB/atom
1.0
8.124 0.000 0.000
-4.062 7.031 -0.036
0.000 -4.680 6.234
S Sm Ag Sb
8 3 3 1
Direct
0.236 0.472 0.737
0.234 0.998 0.263
0.764 0.528 0.263
0.766 0.002 0.737
0.252 0.504 0.257
0.748 0.496 0.743
0.236 0.002 0.737
0.764 0.998 0.263
0.500 0.000 0.500
0.500 0.500 0.500
0.000 0.500 0.500
0.000 0.500 0.000
0.000 0.000 0.000
0.500 0.500 0.000
0.000 0.000 0.500

---

PBE TaMnCr2Se6, relaxed; electronic total energy = -6.6041 eV per atom; space group = P1; uncorrected formation energy = -0.487 eV per atom; size of the total moment = 1.078 μB/atom
1.0
-0.754 0.403 -6.339
4.496 -2.483 -3.847
-1.658 -5.790 -3.297
Ta Mn Se Cr
1 1 6 2
Direct
0.316 0.320 0.010
0.816 0.829 0.525
0.236 0.915 0.265
0.743 0.101 0.752
0.414 0.731 0.766
0.596 0.236 0.252
0.915 0.602 0.240
0.101 0.409 0.732
0.511 0.505 0.487
0.012 0.013 0.987

---

PBE TiCu2As, relaxed; electronic total energy = -5.2972 eV per atom; space group = I-42d; formation energy from the elements = -0.11 eV per atom; size of the total moment = 0.000 μB/atom
1.0
-1.098 -0.030 -3.412
2.357 -2.599 -0.736
-5.942 -7.888 0.099
Ti Cu As
2 4 2
Direct
0.500 0.500 0.000
0.250 0.750 0.500
0.121 0.625 0.250
0.375 0.371 0.750
0.629 0.125 0.250
0.875 0.879 0.750
0.750 0.250 0.500
0.000 0.000 0.000

---

PBE LaHf2Co, relaxed; electronic total energy = -7.1397 eV per atom; space group = I4_1/amd; energy relative to the lowest polymorph listed for this composition = 515.6 meV/atom; formation energy from the elements = 0.85 eV per atom; size of the total moment = 0.000 μB/atom
1.0
5.384 0.000 0.000
0.000 5.384 0.000
2.692 2.692 8.139
La Hf Co
2 4 2
Direct
0.750 0.250 0.500
0.000 0.000 0.000
0.375 0.125 0.250
0.875 0.625 0.750
0.375 0.625 0.250
0.375 0.625 0.750
0.500 0.500 0.000
0.250 0.750 0.500

---

PBE MnPt3Rh, relaxed; electronic total energy = -5.0880 eV per atom; space group = Pm-3m; energy relative to the lowest polymorph listed for this composition = 2064.6 meV/atom; formation energy from the elements = 1.84 eV per atom; size of the total moment = 0.507 μB/atom
1.0
-0.206 -0.008 -4.768
4.685 -0.887 -0.201
-0.886 -4.689 0.046
Pt Mn Rh
3 1 1
Direct
0.000 0.500 0.000
0.500 0.000 0.000
0.000 0.000 0.500
0.500 0.500 0.500
0.000 0.000 0.000